{"formula": "Cs2ZrBrCl6", "functional": "GGA-PBE", "state": "relaxed", "lattice_angstrom": [[-4.017, 4.017, 6.016], [4.017, -4.017, 6.016], [4.017, 4.017, -6.016]], "species": ["Cs", "Cs", "Zr", "Br", "Cl", "Cl", "Cl", "Cl", "Cl", "Cl"], "frac_coords": [[0.250, 0.750, 0.500], [0.750, 0.250, 0.500], [0.000, 0.000, 0.000], [0.500, 0.500, 0.000], [0.207, 0.207, 0.000], [0.219, 0.219, 0.438], [0.219, 0.781, 0.000], [0.781, 0.219, 0.000], [0.781, 0.781, 0.562], [0.793, 0.793, 0.000]], "dft_energy_ry_per_atom": -0.2882, "e_form_raw_mev_per_atom": -1621.0, "mass_density_g_cm3": 2.78}